Record 1
This record from Alexandria describes an optimized crystal structure of YTl3Ge. The functional is PBE.

Values from the calculation:
mass density = 8.014 Mg/m³
ΔE to the lowest computed polymorph = 0.0 meV per atom
total magnetic moment = 0.000 μB/atom
energy relative to the elements = 0.3667 eV/atom
symmetry = No. 221

The structure in extended XYZ format:
```
5
Lattice="-2.8117 -4.3592 -1.6209 0.2737 -2.0459 5.0274 -4.6427 2.5194 1.2780" Properties=species:S:1:pos:R:3 pbc="T T T"
Tl -1.4059 -2.1796 -0.8104
Tl -2.3214 1.2597 0.6390
Tl 0.1369 -1.0229 2.5137
Ge 0.0000 0.0000 0.0000
Y -3.5903 -1.9429 2.3423
```

=====

Record 2
This record from Alexandria describes an optimized crystal structure of ScIrRu2. The functional is PBE.

Values from the calculation:
mass density = 11.653 Mg/m³
ΔE to the lowest computed polymorph = 133.6 meV per atom
total magnetic moment = 0.000 μB/atom
energy relative to the elements = -0.1208 eV/atom
symmetry = No. 44

The structure in extended XYZ format:
```
4
Lattice="-3.0726 -1.9571 4.1819 -5.0664 -2.1311 -0.7412 5.4507 -0.1145 -1.0180" Properties=species:S:1:pos:R:3 pbc="T T T"
Sc -4.0583 -2.0385 1.7156
Ru -8.1234 -4.0804 3.4342
Ru -1.0565 -2.1638 2.5313
Ir -1.6585 -2.0524 -0.0972
```

=====

Record 3
This record from Alexandria describes an optimized crystal structure of CaScSb2. The functional is PBE.

Values from the calculation:
mass density = 4.776 Mg/m³
ΔE to the lowest computed polymorph = 763.8 meV per atom
total magnetic moment = 0.004 μB/atom
symmetry = No. 160

The structure in extended XYZ format:
```
4
Lattice="-5.0424 2.3936 -9.3099 -5.2952 -1.1131 -9.4101 -7.6764 0.7717 -7.6358" Properties=species:S:1:pos:R:3 pbc="T T T"
Sb -4.4046 0.5018 -6.4442
Sb -0.0103 0.0012 -0.0150
Sc -9.1696 1.0446 -13.4158
Ca -13.4365 1.5307 -19.6586
```

=====

Record 4
This record from Alexandria describes an optimized crystal structure of CsNdCuO3. The functional is PBE.

Values from the calculation:
mass density = 4.922 Mg/m³
total magnetic moment = 0.000 μB/atom
symmetry = No. 11
electronic total energy = -71.7 eV for the cell shown

The structure in extended XYZ format:
```
12
Lattice="-0.8614 3.2505 1.8705 -7.1473 0.2409 -3.7099 -0.3300 -4.6242 7.8837" Properties=species:S:1:pos:R:3 pbc="T T T"
O -4.2387 -3.0985 5.4114
O -7.1030 -0.7865 0.0746
O -1.4642 -3.0941 6.6815
O -4.1000 1.9656 0.6330
O -1.2358 -0.3464 5.9697
O -6.8746 1.9613 -0.6371
Nd -5.0763 0.3175 -0.9105
Nd -3.2625 -1.4504 6.9549
Cu -7.6106 0.9281 0.8193
Cu -0.7282 -2.0610 5.2250
Cs -1.7453 -0.0788 1.3121
Cs -6.5935 -1.0541 4.7322
```

=====

Record 5
This record from Alexandria describes an optimized crystal structure of Ac2LaTbTe5. The functional is PBE.

Values from the calculation:
mass density = 6.352 Mg/m³
total magnetic moment = 0.000 μB/atom
symmetry = No. 123
electronic total energy = -43.1 eV for the cell shown

The structure in extended XYZ format:
```
9
Lattice="-3.5745 0.7549 4.1368 -4.1888 -0.1623 -3.5898 -0.7983 -11.8102 1.4654" Properties=species:S:1:pos:R:3 pbc="T T T"
Te -0.5989 -8.8605 1.0994
Te -0.1994 -2.9496 0.3660
Te -2.4936 -5.9862 -1.0622
Te -3.8816 0.2963 0.2735
Te -2.1864 -5.5276 2.8011
Ac -4.4371 -7.9217 1.2931
Ac -4.1245 -3.2959 0.7192
La 0.0000 0.0000 0.0000
Tb -0.3991 -5.9051 0.7327
```

=====

Record 6
This record from Alexandria describes an optimized crystal structure of K3Pm3CrSe8. The functional is PBE.

Values from the calculation:
mass density = 4.345 Mg/m³
total magnetic moment = 0.148 μB/atom
symmetry = No. 12
electronic total energy = -76.1 eV for the cell shown

The structure in extended XYZ format:
```
15
Lattice="-2.3088 4.3646 6.6653 -5.7290 -2.8009 -5.3139 3.9910 -6.2889 5.5005" Properties=species:S:1:pos:R:3 pbc="T T T"
Pm -2.0234 -2.3626 3.4259
Pm 0.8411 -0.9622 6.0829
Pm -0.8690 -4.5449 0.0933
Se -2.4664 -2.1312 0.5402
Se 0.5683 -0.9773 3.1440
Se -0.7084 1.4362 6.8303
Se -3.8758 -0.1126 3.8915
Se -1.5804 -2.5941 6.3117
Se -3.3383 -6.1615 0.0216
Se -0.1709 -4.6127 2.9604
Se -4.6150 -3.7480 3.7079
Cr 1.9955 -3.1445 2.7502
K 0.0000 0.0000 0.0000
K -4.0189 0.7818 0.6757
K -2.8645 -1.4005 -2.6570
```

=====

Record 7
This record from Alexandria describes an optimized crystal structure of CeMg14Mo. The functional is PBE.

Values from the calculation:
mass density = 2.672 Mg/m³
ΔE to the lowest computed polymorph = 0.0 meV per atom
total magnetic moment = 0.013 μB/atom
energy relative to the elements = 0.1023 eV/atom
symmetry = No. 38

The structure in extended XYZ format:
```
16
Lattice="-2.5557 -1.9069 -5.6206 1.8488 -3.9692 4.7524 -9.5688 0.5351 4.1694" Properties=species:S:1:pos:R:3 pbc="T T T"
Mg -6.9878 -1.2597 3.7089
Mg -7.3343 -4.1398 3.2834
Mg -0.5211 -1.2902 -1.0303
Mg -2.2507 -1.5247 1.6448
Mg 0.4063 -3.2938 1.3553
Mg -2.5971 -4.4047 1.2193
Mg -5.6206 -3.9769 0.7104
Mg -5.2716 -1.0754 1.1390
Mg -1.8217 -2.2506 -3.8919
Mg -1.5508 -3.4503 4.0082
Mg -3.3538 -2.4615 -1.2164
Mg -0.8785 -4.2615 -1.4693
Mg -8.4194 -2.1782 0.9908
Mg -5.9153 -3.2062 5.9100
Mo -4.4083 -3.0121 3.3689
Ce -6.5434 -2.0123 -1.6596
```

=====

Record 8
This record from Alexandria describes an optimized crystal structure of Ac2Pm5Dy3. The functional is PBE.

Values from the calculation:
mass density = 7.510 Mg/m³
total magnetic moment = 0.000 μB/atom
energy relative to the elements = 0.1932 eV/atom
symmetry = No. 15

The structure in extended XYZ format:
```
20
Lattice="10.1403 3.0010 -5.2249 1.8120 8.8530 -4.7321 -3.5215 -2.9775 11.4365" Properties=species:S:1:pos:R:3 pbc="T T T"
Pm 8.5153 6.6821 -6.2742
Pm -1.1582 0.9042 4.9286
Pm 5.9658 8.0739 -3.7787
Pm 4.4967 6.4452 -0.8951
Pm 2.4651 0.8026 5.2582
Pm 9.5890 7.9723 -3.4492
Pm 6.2917 5.1276 1.8283
Pm 3.9341 2.4313 2.3745
Pm -0.0844 2.1944 7.7536
Pm 2.1392 3.7489 -0.3489
Dy 7.6277 2.2777 -3.8597
Dy 1.2163 3.5643 4.4190
Dy 0.9199 6.5460 -1.1105
Dy 7.2145 5.3122 -2.9396
Dy 0.8032 6.5988 5.3391
Dy 7.5109 2.3305 2.5899
Ac 7.7417 8.0637 -0.3349
Ac 2.6748 6.5366 2.2886
Ac 5.7561 2.3399 -0.8091
Ac 0.6891 0.8128 1.8143
```

=====

Record 9
This record from Alexandria describes an optimized crystal structure of Pm3CdAg4. The functional is PBE.

Values from the calculation:
mass density = 8.335 Mg/m³
ΔE to the lowest computed polymorph = 0.0 meV per atom
total magnetic moment = 0.000 μB/atom
energy relative to the elements = -0.2509 eV/atom
symmetry = No. 166

The structure in extended XYZ format:
```
8
Lattice="4.9507 0.0000 1.4614 2.2597 4.4049 1.4614 0.0458 0.0280 8.9612" Properties=species:S:1:pos:R:3 pbc="T T T"
Cd 0.0000 0.0000 0.0000
Ag 2.7604 1.6864 8.8814
Ag 6.3169 3.8591 5.9493
Ag 0.9392 0.5738 5.9346
Ag 4.4958 2.7465 3.0025
Pm 1.8606 1.1367 2.8132
Pm 5.3955 3.2962 9.0707
Pm 3.6281 2.2164 5.9420
```

=====

Record 10
This record from Alexandria describes an optimized crystal structure of MgTa2Ni. The functional is PBE.

Values from the calculation:
mass density = 11.127 Mg/m³
total magnetic moment = 0.000 μB/atom
energy relative to the elements = 0.0003 eV/atom
symmetry = No. 99

The structure in extended XYZ format:
```
4
Lattice="2.8396 0.0000 0.0000 0.0000 2.8396 0.0000 0.0000 0.0000 8.2337" Properties=species:S:1:pos:R:3 pbc="T T T"
Mg 0.0000 0.0000 4.4204
Ni 1.4198 1.4198 6.2053
Ta 1.4198 1.4198 2.0032
Ta 0.0000 0.0000 7.9555
```

=====

Record 11
This record from Alexandria describes an optimized crystal structure of B5C7. The functional is PBE.

Values from the calculation:
mass density = 2.880 Mg/m³
ΔE to the lowest computed polymorph = 79.3 meV per atom
total magnetic moment = 0.000 μB/atom
energy relative to the elements = 0.3372 eV/atom
symmetry = No. 6

The structure in extended XYZ format:
```
12
Lattice="-1.1015 -2.2019 0.8982 1.4524 -2.2856 -3.8220 5.3729 -1.2847 3.4396" Properties=species:S:1:pos:R:3 pbc="T T T"
C 3.7808 -3.7735 -0.7904
C 2.5084 -3.4243 -1.4947
C 5.9449 -2.6963 0.6807
C 3.2985 -2.3339 2.1474
C 5.5078 -3.5230 1.9417
C 4.5865 -2.6905 2.8526
C 2.2305 -1.1681 -0.1282
B 3.4934 -1.4218 0.7987
B 1.5018 -2.5643 -0.6210
B 4.6697 -2.4693 -0.3266
B 3.0013 -2.6419 -2.7958
B 5.1825 -1.2482 3.2957
```